This record from the Alexandria database describes crystalline Li2MnBPO7 at its relaxed geometry. The functional is PBE+U.

Output
calculated volume	11.54	A^3/atom
DFT total energy	-6.8894	eV/atom

Structure (CIF):
```
data_Li2MnBPO7
_cell_length_a 5.1083
_cell_length_b 6.2217
_cell_length_c 8.7331
_cell_angle_alpha 90.00
_cell_angle_beta 94.03
_cell_angle_gamma 90.00
_symmetry_space_group_name_H-M 'P 1 21/m 1'
_symmetry_Int_Tables_number 11
_symmetry_space_group_name_Hall '-P 2yb'
loop_
_atom_site_label
_atom_site_type_symbol
_atom_site_fract_x
_atom_site_fract_y
_atom_site_fract_z
Li1 Li 0.2335 0.0166 0.3030
Mn1 Mn 0.2144 0.7500 0.8369
B1 B 0.2628 0.7500 0.5632
P1 P 0.2735 0.2500 0.9294
O1 O 0.0242 0.7500 0.6360
O2 O 0.1413 0.2500 0.0829
O3 O 0.1865 0.0568 0.8262
O4 O 0.2895 0.7500 0.4139
O5 O 0.4244 0.7500 0.0337
O6 O 0.4684 0.7500 0.6817
```